[1]
VASP calculation (GGA-PBE) on a relaxed structure of PPd4Se.

abc: 6.9228 5.5058 5.4836
angles: 90.00 95.45 90.00
Closest atoms and distances in Å follow each position.
Space group P2_1/c (No. 14)
Asymmetric unit:
P  0.0000  0.0000  0.0000 [2 per cell]  6 Pd 2.31-2.40
Pd  0.1614  0.1663  0.3641 [4 per cell]  2 P 2.31-2.38, 1 Se 2.56
Pd  0.2407  0.6768  0.2684 [4 per cell]  1 P 2.40, 1 Se 2.62
Se  0.5000  0.0000  0.5000 [2 per cell]  6 Pd 2.56-2.75

Values from the calculation:
DOS(E_F)	3.8	states/eV/f.u.
raw total energy	-5.2311	eV/atom

[2]
VASP calculation (GGA-PBE) on a relaxed structure of Nd2H2SI.

abc: 3.9854 3.9854 8.6998
angles: 90.00 90.00 120.00
Closest atoms and distances in Å follow each position.
Space group P-3m1 (No. 164)
Asymmetric unit:
Nd  0.3333  0.6667  0.2004 [2 per cell]  3 H 2.32
H  0.3333  0.6667  0.7630 [2 per cell]  3 Nd 2.32
S  0.0000  0.0000  0.0000 [1 per cell]  6 Nd 2.89, 6 H 3.09
I  0.0000  0.0000  0.5000 [1 per cell]  6 H 3.24, 6 Nd 3.48

Values from the calculation:
DOS(E_F)	2.0	states/eV/f.u.
raw total energy	-4.8539	eV/atom

[3]
VASP calculation (GGA-PBE) on a relaxed structure of K2Y2TiS6.

abc: 6.7325 11.5114 7.8631
angles: 90.00 107.10 90.00
Closest atoms and distances in Å follow each position.
Space group C2/m (No. 12)
Asymmetric unit:
K  0.0000  0.1713  0.0000 [4 per cell]  6 S 3.18-3.29
Y  0.0000  0.3332  0.5000 [4 per cell]  6 S 2.73-2.75
Ti  0.0000  0.0000  0.5000 [2 per cell]  6 S 2.48-2.50
S  0.2195  0.1530  0.6919 [8 per cell]  1 Ti 2.50, 2 Y 2.73-2.75
S  0.2369  0.0000  0.3105 [4 per cell]  1 Ti 2.48, 2 Y 2.74

Values from the calculation:
raw total energy	-6.0378	eV/atom

[4]
VASP calculation (GGA-PBE) on a relaxed structure of KMnCd2.

abc: 9.3659 3.2422 7.4485
angles: 90.00 97.79 90.00
Closest atoms and distances in Å follow each position.
Space group C2/m (No. 12)
Asymmetric unit:
K  0.0000  0.0000  0.0000 [2 per cell]  2 K 3.24, 2 Cd 3.48
Mn  0.0000  0.5000  0.5000 [2 per cell]  6 Cd 2.86-2.97
Cd  0.2312  0.0000  0.6712 [4 per cell]  3 Mn 2.86-2.97, 2 Cd 3.08

Values from the calculation:
energy relative to the elements	0.347	eV per atom
DOS(E_F)	3.0	states/eV/f.u.
raw total energy	-2.6777	eV/atom

[5]
VASP calculation (GGA-PBE) on a relaxed structure of RePt2Br.

abc: 2.8246 4.9365 10.0279
angles: 90.00 90.00 90.00
Closest atoms and distances in Å follow each position.
Space group Cmm2 (No. 35)
Asymmetric unit:
Re  0.0000  0.0000  0.0000 [2 per cell]  2 Pt 2.66, 2 Br 2.68, 6 Re 2.82-2.84
Pt  0.0000  0.0000  0.5335 [2 per cell]  8 Pt 2.81-2.84
Pt  0.0000  0.5000  0.7753 [2 per cell]  2 Re 2.66, 8 Pt 2.81-2.84
Br  0.0000  0.5000  0.2273 [2 per cell]  2 Re 2.68, 6 Br 2.82-2.84

Values from the calculation:
DOS(E_F)	3.6	states/eV/f.u.
raw total energy	-5.9172	eV/atom

[6]
VASP calculation (GGA-PBE) on a relaxed structure of CuReI2O.

abc: 5.4532 5.4532 3.5071
angles: 90.00 90.00 90.00
Closest atoms and distances in Å follow each position.
Space group P4/mmm (No. 123)
Asymmetric unit:
Cu  0.0000  0.0000  0.0000 [1 per cell]  2 O 1.75
Re  0.5000  0.5000  0.5000 [1 per cell]  8 I 3.24, 2 Re 3.51
I  0.0000  0.5000  0.0000 [2 per cell]  2 Cu 2.73
O  0.0000  0.0000  0.5000 [1 per cell]  2 Cu 1.75

Values from the calculation:
DOS(E_F)	6.6	states/eV/f.u.
raw total energy	-3.9212	eV/atom

[7]
VASP calculation (GGA-PBE) on a relaxed structure of Sr2HI.

abc: 8.0373 8.0373 8.0373
angles: 90.00 90.00 90.00
Closest atoms and distances in Å follow each position.
Space group Fm-3m (No. 225)
Asymmetric unit:
Sr  0.2500  0.2500  0.2500 [8 per cell]  4 H 3.48, 4 I 3.48
H  0.0000  0.0000  0.0000 [4 per cell]  8 Sr 3.48
I  0.0000  0.0000  0.5000 [4 per cell]  8 Sr 3.48

Values from the calculation:
DOS(E_F)	3.4	states/eV/f.u.
raw total energy	-2.2911	eV/atom

[8]
VASP calculation (GGA-PBE) on a relaxed structure of BaNaMgSn2.

abc: 4.9719 4.9719 12.8694
angles: 90.00 90.00 90.00
Closest atoms and distances in Å follow each position.
Space group I-4m2 (No. 119)
Asymmetric unit:
Ba  0.0000  0.0000  0.0000 [2 per cell]  8 Sn 3.80, 4 Na 4.07, 4 Mg 4.07
Na  0.0000  0.5000  0.2500 [2 per cell]  4 Sn 3.06
Mg  0.0000  0.5000  0.7500 [2 per cell]  4 Sn 3.06
Sn  0.0000  0.0000  0.3884 [4 per cell]  1 Sn 2.87, 2 Na 3.06, 2 Mg 3.06

Values from the calculation:
energy relative to the elements	-0.406	eV per atom
DOS(E_F)	2.3	states/eV/f.u.
raw total energy	-2.9742	eV/atom

> Which of these has the lowest raw total energy?

K2Y2TiS6

Repeat the sixth record exactly.
VASP calculation (GGA-PBE) on a relaxed structure of CuReI2O.

abc: 5.4532 5.4532 3.5071
angles: 90.00 90.00 90.00
Closest atoms and distances in Å follow each position.
Space group P4/mmm (No. 123)
Asymmetric unit:
Cu  0.0000  0.0000  0.0000 [1 per cell]  2 O 1.75
Re  0.5000  0.5000  0.5000 [1 per cell]  8 I 3.24, 2 Re 3.51
I  0.0000  0.5000  0.0000 [2 per cell]  2 Cu 2.73
O  0.0000  0.0000  0.5000 [1 per cell]  2 Cu 1.75

Values from the calculation:
DOS(E_F)	6.6	states/eV/f.u.
raw total energy	-3.9212	eV/atom

> Which of these has the lowest raw total energy?

K2Y2TiS6

> Which formula does entry 6 have?

CuReI2O